# GGA-PBE YBe, relaxed
# Calculated formation energy, meV per atom: 498
# ρ, kg/m3: 4138
data_YBe
_chemical_formula_sum 'Y6 Be6'
_space_group_name_H-M_alt 'R -3 m'
_space_group_IT_number 166
_space_group_name_Hall '-R 3 2"'
_cell_length_a 4.9947
_cell_length_b 4.9947
_cell_length_c 10.9115
_cell_angle_alpha 90.00
_cell_angle_beta 90.00
_cell_angle_gamma 120.00
loop_
_atom_site_label
_atom_site_type_symbol
_atom_site_fract_x
_atom_site_fract_y
_atom_site_fract_z
Y1 Y 0.0000 0.0000 0.1516
Be1 Be 0.0000 0.0000 0.4061


# GGA-PBE YBe4, relaxed
# Calculated formation energy, meV per atom: -21
# ρ, kg/m3: 3210
data_YBe4
_chemical_formula_sum 'Y2 Be8'
_space_group_name_H-M_alt 'I 4/m m m'
_space_group_IT_number 139
_space_group_name_Hall '-I 4 2'
_cell_length_a 3.804
_cell_length_b 3.804
_cell_length_c 8.936
_cell_angle_alpha 90.00
_cell_angle_beta 90.00
_cell_angle_gamma 90.00
loop_
_atom_site_label
_atom_site_type_symbol
_atom_site_fract_x
_atom_site_fract_y
_atom_site_fract_z
Y1 Y 0.000 0.000 0.000
Be1 Be 0.000 0.000 0.372
Be2 Be 0.000 0.500 0.250


# GGA-PBE YBe, relaxed
# Calculated formation energy, meV per atom: 71
# ρ, kg/m3: 3907
data_YBe
_chemical_formula_sum 'Y4 Be4'
_space_group_name_H-M_alt 'C m c m'
_space_group_IT_number 63
_space_group_name_Hall '-C 2c 2'
_cell_length_a 3.563
_cell_length_b 11.698
_cell_length_c 3.994
_cell_angle_alpha 90.00
_cell_angle_beta 90.00
_cell_angle_gamma 90.00
loop_
_atom_site_label
_atom_site_type_symbol
_atom_site_fract_x
_atom_site_fract_y
_atom_site_fract_z
Y1 Y 0.000 0.144 0.250
Be1 Be 0.000 0.453 0.250


# GGA-PBE Y5Be, relaxed
# Calculated formation energy, meV per atom: 616
# ρ, kg/m3: 4100
data_Y5Be
_chemical_formula_sum 'Y20 Be4'
_space_group_name_H-M_alt 'F -4 3 m'
_space_group_IT_number 216
_space_group_name_Hall 'F -4 2 3'
_cell_length_a 9.024
_cell_length_b 9.024
_cell_length_c 9.024
_cell_angle_alpha 90.00
_cell_angle_beta 90.00
_cell_angle_gamma 90.00
loop_
_atom_site_label
_atom_site_type_symbol
_atom_site_fract_x
_atom_site_fract_y
_atom_site_fract_z
Y1 Y 0.000 0.000 0.000
Y2 Y 0.125 0.125 0.625
Be1 Be 0.250 0.250 0.250


# GGA-PBE Y4Be3, relaxed
# Calculated formation energy, meV per atom: 238
# ρ, kg/m3: 4153
data_Y4Be3
_chemical_formula_sum 'Y8 Be6'
_space_group_name_H-M_alt 'I 4/m m m'
_space_group_IT_number 139
_space_group_name_Hall '-I 4 2'
_cell_length_a 3.259
_cell_length_b 3.259
_cell_length_c 28.813
_cell_angle_alpha 90.00
_cell_angle_beta 90.00
_cell_angle_gamma 90.00
loop_
_atom_site_label
_atom_site_type_symbol
_atom_site_fract_x
_atom_site_fract_y
_atom_site_fract_z
Y1 Y 0.000 0.000 0.061
Y2 Y 0.000 0.000 0.337
Be1 Be 0.000 0.000 0.234
Be2 Be 0.000 0.000 0.500


# GGA-PBE YBe4, relaxed
# Calculated formation energy, meV per atom: 2343
# ρ, kg/m3: 1679
data_YBe4
_chemical_formula_sum 'Y1 Be4'
_space_group_name_H-M_alt 'P m -3 m'
_space_group_IT_number 221
_space_group_name_Hall '-P 4 2 3'
_cell_length_a 4.981
_cell_length_b 4.981
_cell_length_c 4.981
_cell_angle_alpha 90.00
_cell_angle_beta 90.00
_cell_angle_gamma 90.00
loop_
_atom_site_label
_atom_site_type_symbol
_atom_site_fract_x
_atom_site_fract_y
_atom_site_fract_z
Y1 Y 0.000 0.000 0.000
Be1 Be 0.000 0.000 0.500
Be2 Be 0.500 0.500 0.500


# GGA-PBE YBe, relaxed
# Calculated formation energy, meV per atom: 361
# ρ, kg/m3: 4078
data_YBe
_chemical_formula_sum 'Y4 Be4'
_space_group_name_H-M_alt 'I 41/a m d'
_space_group_IT_number 141
_cell_length_a 4.086
_cell_length_b 4.086
_cell_length_c 9.550
_cell_angle_alpha 90.00
_cell_angle_beta 90.00
_cell_angle_gamma 90.00
loop_
_space_group_symop_operation_xyz
'x,y,z'
'-x,-y,-z'
'-y+1/4,x+3/4,z+1/4'
'y+1/4,-x+3/4,-z+1/4'
'-x+1/2,-y,z+1/2'
'x+1/2,y,-z+1/2'
'y+1/4,-x+1/4,z+3/4'
'-y+1/4,x+1/4,-z+3/4'
'x,-y,-z'
'-x,y,z'
'-y+1/4,-x+1/4,-z+3/4'
'y+1/4,x+1/4,z+3/4'
'-x+1/2,y,-z+1/2'
'x+1/2,-y,z+1/2'
'y+1/4,x+3/4,-z+1/4'
'-y+1/4,-x+3/4,z+1/4'
'x+1/2,y+1/2,z+1/2'
'-x+1/2,-y+1/2,-z+1/2'
'-y+3/4,x+1/4,z+3/4'
'y+3/4,-x+1/4,-z+3/4'
'-x,-y+1/2,z'
'x,y+1/2,-z'
'y+3/4,-x+3/4,z+1/4'
'-y+3/4,x+3/4,-z+1/4'
'x+1/2,-y+1/2,-z+1/2'
'-x+1/2,y+1/2,z+1/2'
'-y+3/4,-x+3/4,-z+1/4'
'y+3/4,x+3/4,z+1/4'
'-x,y+1/2,-z'
'x,-y+1/2,z'
'y+3/4,x+1/4,-z+3/4'
'-y+3/4,-x+1/4,z+3/4'
loop_
_atom_site_label
_atom_site_type_symbol
_atom_site_fract_x
_atom_site_fract_y
_atom_site_fract_z
Y1 Y 0.000 0.250 0.375
Be1 Be 0.000 0.250 0.875


# GGA-PBE YBe4, relaxed
# Calculated formation energy, meV per atom: 1842
# ρ, kg/m3: 1794
data_YBe4
_chemical_formula_sum 'Y2 Be8'
_space_group_name_H-M_alt 'I m -3 m'
_space_group_IT_number 229
_space_group_name_Hall '-I 4 2 3'
_cell_length_a 6.139
_cell_length_b 6.139
_cell_length_c 6.139
_cell_angle_alpha 90.00
_cell_angle_beta 90.00
_cell_angle_gamma 90.00
loop_
_atom_site_label
_atom_site_type_symbol
_atom_site_fract_x
_atom_site_fract_y
_atom_site_fract_z
Y1 Y 0.000 0.000 0.000
Be1 Be 0.250 0.250 0.250


# GGA-PBE YBe, relaxed
# Calculated formation energy, meV per atom: 510
# ρ, kg/m3: 3533
data_YBe
_chemical_formula_sum 'Y1 Be1'
_space_group_name_H-M_alt 'P -6 m 2'
_space_group_IT_number 187
_space_group_name_Hall 'P -6 2'
_cell_length_a 3.7715
_cell_length_b 3.7715
_cell_length_c 3.7360
_cell_angle_alpha 90.00
_cell_angle_beta 90.00
_cell_angle_gamma 120.00
loop_
_atom_site_label
_atom_site_type_symbol
_atom_site_fract_x
_atom_site_fract_y
_atom_site_fract_z
Y1 Y 0.0000 0.0000 0.0000
Be1 Be 0.6667 0.3333 0.5000


# GGA-PBE YBe, relaxed
# Calculated formation energy, meV per atom: 67
# ρ, kg/m3: 3721
data_YBe
_chemical_formula_sum 'Y6 Be6'
_space_group_name_H-M_alt 'R -3 m'
_space_group_IT_number 166
_space_group_name_Hall '-R 3 2"'
_cell_length_a 3.8235
_cell_length_b 3.8235
_cell_length_c 20.7076
_cell_angle_alpha 90.00
_cell_angle_beta 90.00
_cell_angle_gamma 120.00
loop_
_atom_site_label
_atom_site_type_symbol
_atom_site_fract_x
_atom_site_fract_y
_atom_site_fract_z
Y1 Y 0.0000 0.0000 0.0910
Be1 Be 0.0000 0.0000 0.3311


# GGA-PBE YBe13, relaxed
# Calculated formation energy, meV per atom: -198
# ρ, kg/m3: 2593
data_YBe13
_chemical_formula_sum 'Y8 Be104'
_space_group_name_H-M_alt 'F m -3 c'
_space_group_IT_number 226
_space_group_name_Hall '-F 4a 2 3'
_cell_length_a 10.183
_cell_length_b 10.183
_cell_length_c 10.183
_cell_angle_alpha 90.00
_cell_angle_beta 90.00
_cell_angle_gamma 90.00
loop_
_atom_site_label
_atom_site_type_symbol
_atom_site_fract_x
_atom_site_fract_y
_atom_site_fract_z
Y1 Y 0.250 0.250 0.250
Be1 Be 0.000 0.000 0.000
Be2 Be 0.000 0.114 0.177


# GGA-PBE YBe, relaxed
# Calculated formation energy, meV per atom: 241
# ρ, kg/m3: 3405
data_YBe
_chemical_formula_sum 'Y8 Be8'
_space_group_name_H-M_alt 'I 4/m m m'
_space_group_IT_number 139
_space_group_name_Hall '-I 4 2'
_cell_length_a 10.051
_cell_length_b 10.051
_cell_length_c 3.782
_cell_angle_alpha 90.00
_cell_angle_beta 90.00
_cell_angle_gamma 90.00
loop_
_atom_site_label
_atom_site_type_symbol
_atom_site_fract_x
_atom_site_fract_y
_atom_site_fract_z
Y1 Y 0.000 0.268 0.000
Be1 Be 0.220 0.220 0.500